(1)
Below is AlIn5 after structural relaxation, with properties calculated at the PBE level.

**Total moment**: 0.000 μB/cell
**SG**: F-43m (216)
**D(E_F)**: 3.45 states/eV/f.u.
**Formation energy**: 0.2390 eV/atom
**Uncorrected energy**: -2.67 eV/atom

Structure (extended XYZ):
```
6
Lattice="0.000 4.358 4.358 4.358 0.000 4.358 4.358 4.358 0.000" Properties=species:S:1:pos:R:3 pbc="T T T"
Al 0.000 0.000 0.000
In 3.267 3.267 3.267
In 5.449 5.449 3.267
In 5.449 3.267 5.449
In 6.537 6.537 6.537
In 3.267 5.449 5.449
```

(2)
Below is AlIn2 after structural relaxation, with properties calculated at the PBE level.

**Total moment**: 0.000 μB/cell
**SG**: P-1 (2)
**D(E_F)**: 0.91 states/eV/f.u.
**Formation energy**: 0.1009 eV/atom
**Uncorrected energy**: -2.97 eV/atom

Structure (extended XYZ):
```
6
Lattice="3.105 0.000 0.000 -0.578 5.446 0.000 -0.376 -1.920 8.505" Properties=species:S:1:pos:R:3 pbc="T T T"
Al 0.264 1.187 3.236
Al 1.887 2.340 5.269
In 0.284 2.140 7.894
In 0.932 -0.485 5.850
In 1.219 4.011 2.655
In 1.867 1.387 0.612
```

(3)
Below is Al3In after structural relaxation, with properties calculated at the PBE level.

**Total moment**: 0.000 μB/cell
**SG**: Cmmm (65)
**D(E_F)**: 1.60 states/eV/f.u.
**Formation energy**: 0.1648 eV/atom
**Uncorrected energy**: -3.33 eV/atom

Structure (extended XYZ):
```
8
Lattice="5.921 0.000 0.000 0.000 8.157 0.000 0.000 0.000 3.208" Properties=species:S:1:pos:R:3 pbc="T T T"
Al 0.000 0.000 0.000
Al 1.480 2.039 1.604
Al 1.480 6.118 1.604
Al 2.960 4.079 0.000
Al 4.440 2.039 1.604
Al 4.440 6.118 1.604
In 0.000 4.079 0.000
In 2.960 0.000 0.000
```

(4)
Below is AlIn4 after structural relaxation, with properties calculated at the PBE level.

**Total moment**: 0.000 μB/cell
**SG**: I4/mmm (139)
**D(E_F)**: 2.21 states/eV/f.u.
**Formation energy**: 0.2639 eV/atom
**Uncorrected energy**: -2.68 eV/atom

Structure (extended XYZ):
```
10
Lattice="4.211 0.000 0.000 0.000 4.211 0.000 0.000 0.000 15.601" Properties=species:S:1:pos:R:3 pbc="T T T"
Al 0.000 0.000 0.000
Al 2.105 2.105 7.800
In 0.000 0.000 6.325
In 0.000 0.000 9.276
In 0.000 2.105 3.900
In 0.000 2.105 11.701
In 2.105 0.000 3.900
In 2.105 0.000 11.701
In 2.105 2.105 1.475
In 2.105 2.105 14.125
```

(5)
Below is AlIn2Ir after structural relaxation, with properties calculated at the PBE level.

**Total moment**: 0.000 μB/cell
**SG**: Cm (8)
**D(E_F)**: 1.85 states/eV/f.u.
**Formation energy**: -0.1808 eV/atom
**Uncorrected energy**: -4.70 eV/atom

Structure (extended XYZ):
```
8
Lattice="8.862 0.000 0.000 0.000 3.024 0.000 -2.382 0.000 6.601" Properties=species:S:1:pos:R:3 pbc="T T T"
Al 0.000 0.000 0.000
Al 4.431 1.512 0.000
In -0.035 0.000 4.284
In 2.209 0.000 2.325
In 4.396 1.512 4.284
In 6.640 1.512 2.325
Ir -0.415 1.512 6.593
Ir 4.016 0.000 6.593
```

(6)
Below is AlIn2Ir2 after structural relaxation, with properties calculated at the PBE level.

**Total moment**: 0.000 μB/cell
**SG**: P4/mbm (127)
**D(E_F)**: 1.92 states/eV/f.u.
**Formation energy**: -0.2508 eV/atom
**Uncorrected energy**: -5.64 eV/atom

Structure (extended XYZ):
```
10
Lattice="6.589 0.000 0.000 0.000 6.589 0.000 0.000 0.000 4.170" Properties=species:S:1:pos:R:3 pbc="T T T"
Al 0.000 0.000 0.000
Al 3.295 3.295 0.000
In 1.067 2.228 2.085
In 2.228 5.523 2.085
In 4.361 1.067 2.085
In 5.523 4.361 2.085
Ir 0.969 4.264 0.000
Ir 2.326 0.969 0.000
Ir 4.264 5.620 0.000
Ir 5.620 2.326 0.000
```

(7)
Below is AlIn2Ir after structural relaxation, with properties calculated at the PBE level.

**Total moment**: 0.000 μB/cell
**SG**: I4/mmm (139)
**D(E_F)**: 3.13 states/eV/f.u.
**Formation energy**: 0.1030 eV/atom
**Uncorrected energy**: -4.42 eV/atom

Structure (extended XYZ):
```
8
Lattice="4.222 0.000 0.000 0.000 4.222 0.000 0.000 0.000 8.247" Properties=species:S:1:pos:R:3 pbc="T T T"
Al 0.000 0.000 0.000
Al 2.111 2.111 4.124
In 0.000 2.111 2.062
In 0.000 2.111 6.185
In 2.111 0.000 2.062
In 2.111 0.000 6.185
Ir 0.000 0.000 4.124
Ir 2.111 2.111 0.000
```

(8)
Below is Al2InIr after structural relaxation, with properties calculated at the PBE level.

**Total moment**: 0.000 μB/cell
**SG**: R3m (160)
**D(E_F)**: 2.16 states/eV/f.u.
**Formation energy**: -0.0884 eV/atom
**Uncorrected energy**: -4.86 eV/atom

Structure (extended XYZ):
```
12
Lattice="3.032 0.000 0.000 -1.516 2.626 0.000 0.000 0.000 26.319" Properties=species:S:1:pos:R:3 pbc="T T T"
Al 0.000 0.000 0.000
Al 0.000 0.000 6.554
Al 0.000 1.751 17.546
Al 0.000 1.751 24.100
Al 1.516 0.875 8.773
Al 1.516 0.875 15.327
In 0.000 0.000 12.844
In 0.000 1.751 4.071
In 1.516 0.875 21.617
Ir 0.000 0.000 19.369
Ir 0.000 1.751 10.596
Ir 1.516 0.875 1.823
```

(9)
Below is Al2InIr after structural relaxation, with properties calculated at the PBE level.

**Total moment**: 0.000 μB/cell
**SG**: P4mm (99)
**D(E_F)**: 2.42 states/eV/f.u.
**Formation energy**: -0.1923 eV/atom
**Uncorrected energy**: -4.96 eV/atom

Structure (extended XYZ):
```
4
Lattice="2.967 0.000 0.000 0.000 2.967 0.000 0.000 0.000 7.984" Properties=species:S:1:pos:R:3 pbc="T T T"
Al 0.000 0.000 0.000
Al 1.483 1.483 2.029
In 0.000 0.000 4.506
Ir 1.483 1.483 6.530
```

(10)
Below is Al2InIr3 after structural relaxation, with properties calculated at the PBE level.

**Total moment**: 0.000 μB/cell
**SG**: P4/mmm (123)
**D(E_F)**: 2.28 states/eV/f.u.
**Formation energy**: -0.6556 eV/atom
**Uncorrected energy**: -6.79 eV/atom

Structure (extended XYZ):
```
6
Lattice="2.998 0.000 0.000 0.000 2.998 0.000 0.000 0.000 9.969" Properties=species:S:1:pos:R:3 pbc="T T T"
Al 0.000 0.000 1.563
Al 0.000 0.000 8.406
In 0.000 0.000 4.984
Ir 1.499 1.499 0.000
Ir 1.499 1.499 3.027
Ir 1.499 1.499 6.942
```

(11)
Below is Al4InIr5 after structural relaxation, with properties calculated at the PBE level.

**Total moment**: 0.000 μB/cell
**SG**: P4/mmm (123)
**D(E_F)**: 2.92 states/eV/f.u.
**Formation energy**: -0.7801 eV/atom
**Uncorrected energy**: -6.98 eV/atom

Structure (extended XYZ):
```
10
Lattice="2.995 0.000 0.000 0.000 2.995 0.000 0.000 0.000 16.115" Properties=species:S:1:pos:R:3 pbc="T T T"
Al 0.000 0.000 1.540
Al 0.000 0.000 4.641
Al 0.000 0.000 11.474
Al 0.000 0.000 14.575
In 0.000 0.000 8.057
Ir 1.497 1.497 0.000
Ir 1.497 1.497 3.035
Ir 1.497 1.497 6.081
Ir 1.497 1.497 10.034
Ir 1.497 1.497 13.080
```

(12)
Below is Al2InIr after structural relaxation, with properties calculated at the PBE level.

**Total moment**: 0.000 μB/cell
**SG**: Cm (8)
**D(E_F)**: 0.94 states/eV/f.u.
**Formation energy**: -0.2077 eV/atom
**Uncorrected energy**: -4.98 eV/atom

Structure (extended XYZ):
```
8
Lattice="8.867 0.000 0.000 0.000 3.115 0.000 -0.735 0.000 5.008" Properties=species:S:1:pos:R:3 pbc="T T T"
Al 0.000 0.000 0.000
Al 1.630 0.000 3.800
Al 4.433 1.557 0.000
Al 6.064 1.557 3.800
In 3.937 0.000 2.367
In 8.370 1.557 2.367
Ir 1.938 1.557 0.764
Ir 6.371 0.000 0.764
```

> The lowest formation energy belongs to which entry?

Al4InIr5